# Zr2Sc2Mo

A geometry-optimized Zr2Sc2Mo structure (PBE-GGA, OQMD via LeMat-Bulk).

Cell lengths 7.1357, 7.1357, 7.1357 Å; angles 147.71, 147.71, 46.32 degrees
Closest atoms and distances in Å follow each position.
Atoms (fractional coordinates):
1 Zr 0.5909 0.5909 0.0000  1 Zr 2.39
2 Zr 0.4091 0.4091 0.0000  1 Zr 2.39
3 Mo 0.0000 0.0000 0.0000  8 Zr 3.05
4 Sc 0.7500 0.2500 0.5000  4 Sc 2.81, 4 Zr 2.88
5 Sc 0.2500 0.7500 0.5000  4 Sc 2.81, 4 Zr 2.88

Output
total moment: 0.00 μB/cell
E_form: 0.777 eV per atom
space group: No. 139

# Mo9Se11

A geometry-optimized Mo9Se11 structure (PBE-GGA, OQMD via LeMat-Bulk).

Cell lengths 8.9568, 8.9568, 11.1013 Å; angles 90.00, 90.00, 95.28 degrees
Closest atoms and distances in Å follow each position.
Atoms (fractional coordinates):
1 Mo 0.1767 0.8233 0.1275  4 Se 2.56-2.60, 6 Mo 2.70-2.78
2 Mo 0.0996 0.5182 0.1286  5 Se 2.55-2.73, 4 Mo 2.67-2.80
3 Mo 0.4818 0.9004 0.1286  5 Se 2.55-2.73, 4 Mo 2.67-2.80
4 Mo 0.3063 0.0732 0.2500  5 Se 2.53-2.70, 4 Mo 2.67-2.78
5 Mo 0.3532 0.6468 0.2500  4 Se 2.55-2.60, 6 Mo 2.70-2.80
6 Mo 0.9268 0.6937 0.2500  5 Se 2.53-2.70, 4 Mo 2.67-2.78
7 Mo 0.0996 0.5182 0.3714  5 Se 2.55-2.73, 4 Mo 2.67-2.80
8 Mo 0.4818 0.9004 0.3714  5 Se 2.55-2.73, 4 Mo 2.67-2.80
9 Mo 0.1767 0.8233 0.3725  4 Se 2.56-2.60, 6 Mo 2.70-2.78
10 Mo 0.8233 0.1767 0.6275  4 Se 2.56-2.60, 6 Mo 2.70-2.78
11 Mo 0.5182 0.0996 0.6286  5 Se 2.55-2.73, 4 Mo 2.67-2.80
12 Mo 0.9004 0.4818 0.6286  5 Se 2.55-2.73, 4 Mo 2.67-2.80
13 Mo 0.0732 0.3063 0.7500  5 Se 2.53-2.70, 4 Mo 2.67-2.78
14 Mo 0.6468 0.3532 0.7500  4 Se 2.55-2.60, 6 Mo 2.70-2.80
15 Mo 0.6937 0.9268 0.7500  5 Se 2.53-2.70, 4 Mo 2.67-2.78
16 Mo 0.5182 0.0996 0.8714  5 Se 2.55-2.73, 4 Mo 2.67-2.80
17 Mo 0.9004 0.4818 0.8714  5 Se 2.55-2.73, 4 Mo 2.67-2.80
18 Mo 0.8233 0.1767 0.8725  4 Se 2.56-2.60, 6 Mo 2.70-2.78
19 Se 0.3466 0.6534 0.0158  4 Mo 2.57-2.73
20 Se 0.2901 0.0574 0.0171  4 Mo 2.56-2.63
21 Se 0.9426 0.7099 0.0171  4 Mo 2.56-2.63
22 Se 0.5884 0.1269 0.2500  3 Mo 2.53-2.55
23 Se 0.2815 0.3651 0.2500  4 Mo 2.55-2.64
24 Se 0.8731 0.4116 0.2500  3 Mo 2.53-2.55
25 Se 0.6349 0.7185 0.2500  4 Mo 2.55-2.64
26 Se 0.0091 0.9909 0.2500  4 Mo 2.60-2.70
27 Se 0.2901 0.0574 0.4829  4 Mo 2.56-2.63
28 Se 0.9426 0.7099 0.4829  4 Mo 2.56-2.63
29 Se 0.3466 0.6534 0.4842  4 Mo 2.57-2.73
30 Se 0.6534 0.3466 0.5158  4 Mo 2.57-2.73
31 Se 0.0574 0.2901 0.5171  4 Mo 2.56-2.63
32 Se 0.7099 0.9426 0.5171  4 Mo 2.56-2.63
33 Se 0.9909 0.0091 0.7500  4 Mo 2.60-2.70
34 Se 0.3651 0.2815 0.7500  4 Mo 2.55-2.64
35 Se 0.1269 0.5884 0.7500  3 Mo 2.53-2.55
36 Se 0.7185 0.6349 0.7500  4 Mo 2.55-2.64
37 Se 0.4116 0.8731 0.7500  3 Mo 2.53-2.55
38 Se 0.0574 0.2901 0.9829  4 Mo 2.56-2.63
39 Se 0.7099 0.9426 0.9829  4 Mo 2.56-2.63
40 Se 0.6534 0.3466 0.9842  4 Mo 2.57-2.73

Output
total moment: 0.01 μB/cell
energy above the lowest structure with this stoichiometry: 0.294 eV per formula unit
space group: No. 63

# Mo5Se4

A geometry-optimized Mo5Se4 structure (PBE-GGA, OQMD via LeMat-Bulk).

Cell lengths 6.8066, 6.8066, 6.8066 Å; angles 94.69, 94.69, 146.79 degrees
Closest atoms and distances in Å follow each position.
Atoms (fractional coordinates):
1 Mo 0.0000 0.0000 0.0000  4 Se 2.64, 8 Mo 2.74
2 Mo 0.6789 0.3930 0.0720  5 Se 2.63-2.76, 4 Mo 2.72-2.74
3 Mo 0.6070 0.6789 0.2859  5 Se 2.63-2.76, 4 Mo 2.72-2.74
4 Mo 0.3930 0.3211 0.7141  5 Se 2.63-2.76, 4 Mo 2.72-2.74
5 Mo 0.3211 0.6070 0.9280  5 Se 2.63-2.76, 4 Mo 2.72-2.74
6 Se 0.9441 0.2808 0.2248  6 Mo 2.63-2.76
7 Se 0.2808 0.0559 0.3367  6 Mo 2.63-2.76
8 Se 0.7192 0.9441 0.6633  6 Mo 2.63-2.76
9 Se 0.0559 0.7192 0.7752  6 Mo 2.63-2.76

Output
total moment: 0.02 μB/cell
space group: No. 87

# Mo9Se11

A geometry-optimized Mo9Se11 structure (PBE-GGA, OQMD via LeMat-Bulk).

Cell lengths 9.4696, 9.4696, 12.2332 Å; angles 90.00, 90.00, 120.00 degrees
Closest atoms and distances in Å follow each position.
Atoms (fractional coordinates):
1 Mo 0.5158 0.1592 0.0608  5 Se 2.54-2.73, 4 Mo 2.69-2.82
2 Mo 0.8408 0.3566 0.0608  5 Se 2.54-2.73, 4 Mo 2.69-2.82
3 Mo 0.6434 0.4842 0.0608  5 Se 2.54-2.73, 4 Mo 2.69-2.82
4 Mo 0.6812 0.1771 0.2500  4 Se 2.55-2.60, 6 Mo 2.69-2.82
5 Mo 0.4960 0.3188 0.2500  4 Se 2.55-2.60, 6 Mo 2.69-2.82
6 Mo 0.8229 0.5040 0.2500  4 Se 2.55-2.60, 6 Mo 2.69-2.82
7 Mo 0.5158 0.1592 0.4392  5 Se 2.54-2.73, 4 Mo 2.69-2.82
8 Mo 0.8408 0.3566 0.4392  5 Se 2.54-2.73, 4 Mo 2.69-2.82
9 Mo 0.6434 0.4842 0.4392  5 Se 2.54-2.73, 4 Mo 2.69-2.82
10 Mo 0.3566 0.5158 0.5608  5 Se 2.54-2.73, 4 Mo 2.69-2.82
11 Mo 0.1592 0.6434 0.5608  5 Se 2.54-2.73, 4 Mo 2.69-2.82
12 Mo 0.4842 0.8408 0.5608  5 Se 2.54-2.73, 4 Mo 2.69-2.82
13 Mo 0.1771 0.4960 0.7500  4 Se 2.55-2.60, 6 Mo 2.69-2.82
14 Mo 0.5040 0.6812 0.7500  4 Se 2.55-2.60, 6 Mo 2.69-2.82
15 Mo 0.3188 0.8229 0.7500  4 Se 2.55-2.60, 6 Mo 2.69-2.82
16 Mo 0.3566 0.5158 0.9392  5 Se 2.54-2.73, 4 Mo 2.69-2.82
17 Mo 0.1592 0.6434 0.9392  5 Se 2.54-2.73, 4 Mo 2.69-2.82
18 Mo 0.4842 0.8408 0.9392  5 Se 2.54-2.73, 4 Mo 2.69-2.82
19 Se 0.7085 0.0389 0.0784  4 Mo 2.55-2.64
20 Se 0.3304 0.2915 0.0784  4 Mo 2.55-2.64
21 Se 0.9611 0.6696 0.0784  4 Mo 2.55-2.64
22 Se 0.3333 0.6667 0.1035  3 Mo 2.54
23 Se 0.3673 0.0032 0.2500  4 Mo 2.58-2.73
24 Se 0.9968 0.3640 0.2500  4 Mo 2.58-2.73
25 Se 0.6360 0.6327 0.2500  4 Mo 2.58-2.73
26 Se 0.3333 0.6667 0.3965  3 Mo 2.54
27 Se 0.7085 0.0389 0.4216  4 Mo 2.55-2.64
28 Se 0.3304 0.2915 0.4216  4 Mo 2.55-2.64
29 Se 0.9611 0.6696 0.4216  4 Mo 2.55-2.64
30 Se 0.0389 0.3304 0.5784  4 Mo 2.55-2.64
31 Se 0.6696 0.7085 0.5784  4 Mo 2.55-2.64
32 Se 0.2915 0.9611 0.5784  4 Mo 2.55-2.64
33 Se 0.6667 0.3333 0.6035  3 Mo 2.54
34 Se 0.3640 0.3673 0.7500  4 Mo 2.58-2.73
35 Se 0.0032 0.6360 0.7500  4 Mo 2.58-2.73
36 Se 0.6327 0.9968 0.7500  4 Mo 2.58-2.73
37 Se 0.6667 0.3333 0.8965  3 Mo 2.54
38 Se 0.0389 0.3304 0.9216  4 Mo 2.55-2.64
39 Se 0.6696 0.7085 0.9216  4 Mo 2.55-2.64
40 Se 0.2915 0.9611 0.9216  4 Mo 2.55-2.64

Output
total moment: 0.00 μB/cell
energy above the lowest structure with this stoichiometry: 0.000 eV per formula unit
space group: No. 176

# SnMoSe4

A geometry-optimized SnMoSe4 structure (PBE-GGA, OQMD via LeMat-Bulk).

Cell lengths 6.8187, 7.1140, 7.7498 Å; angles 117.30, 92.21, 106.59 degrees
Closest atoms and distances in Å follow each position.
Atoms (fractional coordinates):
1 Mo 0.4991 0.2495 0.0006  6 Se 2.52-2.59
2 Mo 0.5009 0.7505 0.9994  6 Se 2.52-2.59
3 Se 0.2630 0.4925 0.1154  2 Mo 2.58-2.59, 1 Sn 2.78
4 Se 0.2635 0.9932 0.1166  2 Mo 2.58-2.59, 1 Sn 2.79
5 Se 0.7432 0.4837 0.3337  1 Mo 2.52, 2 Sn 2.78
6 Se 0.7430 0.9833 0.3340  1 Mo 2.52, 2 Sn 2.78
7 Se 0.2570 0.0167 0.6660  1 Mo 2.52, 2 Sn 2.78
8 Se 0.2568 0.5163 0.6663  1 Mo 2.52, 2 Sn 2.78
9 Se 0.7365 0.0068 0.8834  2 Mo 2.58-2.59, 1 Sn 2.79
10 Se 0.7370 0.5075 0.8846  2 Mo 2.58-2.59, 1 Sn 2.78
11 Sn 0.4990 0.7495 0.4995  6 Se 2.78-2.79
12 Sn 0.5010 0.2505 0.5005  6 Se 2.78-2.79

Output
total moment: 0.20 μB/cell
space group: No. 2

# TaMoSe4

A geometry-optimized TaMoSe4 structure (PBE-GGA, OQMD via LeMat-Bulk).

Cell lengths 3.3865, 3.3865, 13.2753 Å; angles 90.00, 90.00, 120.00 degrees
Closest atoms and distances in Å follow each position.
Atoms (fractional coordinates):
1 Mo 0.0000 0.0000 0.0000  6 Se 2.56
2 Se 0.3333 0.6667 0.1242  3 Mo 2.56
3 Se 0.0000 0.0000 0.3716  3 Ta 2.59
4 Se 0.0000 0.0000 0.6284  3 Ta 2.59
5 Se 0.3333 0.6667 0.8758  3 Mo 2.56
6 Ta 0.3333 0.6667 0.5000  6 Se 2.59

Output
total moment: 0.00 μB/cell
space group: No. 187

# TbMo6Se8

A geometry-optimized TbMo6Se8 structure (PBE-GGA, OQMD via LeMat-Bulk).

Cell lengths 6.7492, 6.7492, 6.7492 Å; angles 88.97, 88.97, 88.97 degrees
Closest atoms and distances in Å follow each position.
Atoms (fractional coordinates):
1 Mo 0.5594 0.4236 0.2324  5 Se 2.53-2.74, 4 Mo 2.69-2.74
2 Mo 0.2324 0.5594 0.4236  5 Se 2.53-2.74, 4 Mo 2.69-2.74
3 Mo 0.5764 0.7676 0.4406  5 Se 2.53-2.74, 4 Mo 2.69-2.74
4 Mo 0.4236 0.2324 0.5594  5 Se 2.53-2.74, 4 Mo 2.69-2.74
5 Mo 0.7676 0.4406 0.5764  5 Se 2.53-2.74, 4 Mo 2.69-2.74
6 Mo 0.4406 0.5764 0.7676  5 Se 2.53-2.74, 4 Mo 2.69-2.74
7 Se 0.3704 0.7587 0.1219  4 Mo 2.58-2.74
8 Se 0.2374 0.2374 0.2374  3 Mo 2.53, 1 Tb 2.83
9 Se 0.8781 0.6296 0.2413  4 Mo 2.58-2.74
10 Se 0.7587 0.1219 0.3704  4 Mo 2.58-2.74
11 Se 0.2413 0.8781 0.6296  4 Mo 2.58-2.74
12 Se 0.1219 0.3704 0.7587  4 Mo 2.58-2.74
13 Se 0.7626 0.7626 0.7626  3 Mo 2.53, 1 Tb 2.83
14 Se 0.6296 0.2413 0.8781  4 Mo 2.58-2.74
15 Tb 0.0000 0.0000 0.0000  8 Se 2.83-3.08

Output
total moment: 0.00 μB/cell
space group: No. 148

# TeMoSe

A geometry-optimized TeMoSe structure (PBE-GGA, OQMD via LeMat-Bulk).

Cell lengths 7.2347, 7.2347, 7.2347 Å; angles 27.47, 27.47, 27.47 degrees
Closest atoms and distances in Å follow each position.
Atoms (fractional coordinates):
1 Mo 0.6628 0.6628 0.6628  3 Se 2.56, 3 Te 2.73
2 Se 0.2520 0.2520 0.2520  3 Mo 2.56
3 Te 0.4190 0.4190 0.4190  3 Mo 2.73

Output
total moment: 0.00 μB/cell
energy above the lowest structure with this stoichiometry: 0.005 eV per formula unit
space group: No. 160

# TeMoSe

A geometry-optimized TeMoSe structure (PBE-GGA, OQMD via LeMat-Bulk).

Cell lengths 3.4319, 3.4319, 14.0657 Å; angles 90.00, 90.00, 120.00 degrees
Closest atoms and distances in Å follow each position.
Atoms (fractional coordinates):
1 Mo 0.3333 0.6667 0.2410  3 Se 2.56, 3 Te 2.72
2 Mo 0.6667 0.3333 0.7590  3 Se 2.56, 3 Te 2.72
3 Se 0.6667 0.3333 0.1258  3 Mo 2.56
4 Se 0.3333 0.6667 0.8742  3 Mo 2.56
5 Te 0.6667 0.3333 0.3739  3 Mo 2.72
6 Te 0.3333 0.6667 0.6261  3 Mo 2.72

Output
total moment: 0.00 μB/cell
energy above the lowest structure with this stoichiometry: 0.010 eV per formula unit
space group: No. 164

# TeMoSe

A geometry-optimized TeMoSe structure (PBE-GGA, OQMD via LeMat-Bulk).

Cell lengths 3.4267, 3.4267, 13.9706 Å; angles 90.00, 90.00, 120.00 degrees
Closest atoms and distances in Å follow each position.
Atoms (fractional coordinates):
1 Mo 0.0000 0.0000 0.0000  6 Se 2.57
2 Mo 0.3333 0.6667 0.5000  6 Te 2.71
3 Se 0.3333 0.6667 0.1174  3 Mo 2.57
4 Se 0.3333 0.6667 0.8826  3 Mo 2.57
5 Te 0.0000 0.0000 0.3671  3 Mo 2.71
6 Te 0.0000 0.0000 0.6329  3 Mo 2.71

Output
total moment: 0.00 μB/cell
energy above the lowest structure with this stoichiometry: 0.017 eV per formula unit
space group: No. 187

# TeMoSe

A geometry-optimized TeMoSe structure (PBE-GGA, OQMD via LeMat-Bulk).

Cell lengths 3.4331, 3.4331, 13.8834 Å; angles 90.00, 90.00, 120.00 degrees
Closest atoms and distances in Å follow each position.
Atoms (fractional coordinates):
1 Mo 0.3333 0.6667 0.2439  3 Se 2.56, 3 Te 2.73
2 Mo 0.6667 0.3333 0.7439  3 Se 2.56, 3 Te 2.73
3 Se 0.6667 0.3333 0.1274  3 Mo 2.56
4 Se 0.3333 0.6667 0.6274  3 Mo 2.56
5 Te 0.6667 0.3333 0.3788  3 Mo 2.73
6 Te 0.3333 0.6667 0.8788  3 Mo 2.73

Output
total moment: 0.01 μB/cell
energy above the lowest structure with this stoichiometry: 0.000 eV per formula unit
space group: No. 186

Computed values of energy (unit: eV/atom) for the preceding records, in sequence: -7.34, -7.27, -7.76, -7.29, -5.11, -6.84, -7.21, -6.27, -6.27, -6.27, -6.28.